No. 1
This record from Alexandria via LeMat-Bulk describes an optimized crystal structure of AgMoOs2. The functional is PBE-GGA.

a b c (Å): 2.7603 2.7603 28.1874
angles (deg): 90.00 90.00 120.00
Space group R-3m (No. 166, hexagonal axes)
Inequivalent atoms, fractional coordinates:
Ag: 0.0000 0.0000 0.0000 [3 per cell]
Mo: 0.0000 0.0000 0.5000 [3 per cell]
Os: 0.0000 0.0000 0.2448 [6 per cell]

**Volume**: 186.00 Å³ per cell
**Energy**: -0.644 Ry/atom
**Formation enthalpy at 0 K**: 0.273 eV per atom
**Total magnetization**: 0.000 μB per atom
**Polymorph energy (0 for the lowest one)**: 0.00 kcal/mol of atoms


No. 2
This record from Alexandria via LeMat-Bulk describes an optimized crystal structure of AgMoOs. The functional is PBE-GGA.

a b c (Å): 2.951 4.547 14.509
angles (deg): 90.00 90.00 90.00
Space group Fmm2 (No. 42)
Inequivalent atoms, fractional coordinates:
Ag: 0.000 0.000 0.000 [4 per cell]
Mo: 0.000 0.000 0.324 [4 per cell]
Os: 0.000 0.000 0.675 [4 per cell]

**Volume**: 194.70 Å³ per cell
**Energy**: -0.575 Ry/atom
**Formation enthalpy at 0 K**: 0.484 eV per atom
**Total magnetization**: 0.000 μB per atom
**Polymorph energy (0 for the lowest one)**: 4.02 kcal/mol of atoms


No. 3
This record from Alexandria via LeMat-Bulk describes an optimized crystal structure of AgMoOs2. The functional is PBE-GGA.

a b c (Å): 2.850 4.582 9.665
angles (deg): 90.00 90.00 90.00
Space group Cmm2 (No. 35)
Inequivalent atoms, fractional coordinates:
Ag: 0.000 0.000 0.000 [2 per cell]
Mo: 0.000 0.500 0.265 [2 per cell]
Os: 0.000 0.000 0.501 [2 per cell]
Os: 0.000 0.500 0.737 [2 per cell]

**Volume**: 126.21 Å³ per cell
**Energy**: -0.620 Ry/atom
**Formation enthalpy at 0 K**: 0.596 eV per atom
**Total magnetization**: 0.000 μB per atom
**Polymorph energy (0 for the lowest one)**: 7.44 kcal/mol of atoms


No. 4
This record from Alexandria via LeMat-Bulk describes an optimized crystal structure of AgMoOs. The functional is PBE-GGA.

a b c (Å): 2.931 2.931 11.473
angles (deg): 90.00 90.00 90.00
Space group I4mm (No. 107)
Inequivalent atoms, fractional coordinates:
Ag: 0.000 0.000 0.000 [2 per cell]
Mo: 0.000 0.000 0.686 [2 per cell]
Os: 0.000 0.000 0.319 [2 per cell]

**Volume**: 98.59 Å³ per cell
**Energy**: -0.580 Ry/atom
**Formation enthalpy at 0 K**: 0.414 eV per atom
**Total magnetization**: 0.000 μB per atom
**Polymorph energy (0 for the lowest one)**: 2.41 kcal/mol of atoms